A | First-principles (PBE-GGA) data for a relaxed In2Co2Bi crystal, as listed in Alexandria via LeMat-Bulk.

Total magnetic moment (μB per formula unit): 1.4
ρ (g/cm3): 8.76

Geometry as CIF:
```
data_In2Co2Bi
_space_group_name_H-M_alt 'P 1'
_space_group_IT_number 1
_space_group_name_Hall 'P 1'
_cell_length_a 4.6227
_cell_length_b 4.6227
_cell_length_c 5.9199
_cell_angle_alpha 67.02
_cell_angle_beta 67.02
_cell_angle_gamma 90.00
loop_
_atom_site_label
_atom_site_type_symbol
_atom_site_fract_x
_atom_site_fract_y
_atom_site_fract_z
Co1 Co 0.2500 0.7500 0.5000
In1 In 0.6463 0.6463 0.7075
Bi1 Bi 0.0000 0.0000 0.0000
In2 In 0.3537 0.3537 0.2925
Co2 Co 0.7500 0.2500 0.5000
```

***

B | First-principles (PBE-GGA) data for a relaxed In2Co2Bi crystal, as listed in Alexandria via LeMat-Bulk.

Total magnetic moment (μB per formula unit): 0.0
ρ (g/cm3): 9.54

Geometry as CIF:
```
data_In2Co2Bi
_space_group_name_H-M_alt 'P 1'
_space_group_IT_number 1
_space_group_name_Hall 'P 1'
_cell_length_a 4.0316
_cell_length_b 4.0316
_cell_length_c 6.6042
_cell_angle_alpha 72.23
_cell_angle_beta 72.23
_cell_angle_gamma 90.00
loop_
_atom_site_label
_atom_site_type_symbol
_atom_site_fract_x
_atom_site_fract_y
_atom_site_fract_z
Co1 Co 0.4017 0.4017 0.1966
In1 In 0.2500 0.7500 0.5000
Bi1 Bi 0.0000 0.0000 0.0000
In2 In 0.7500 0.2500 0.5000
Co2 Co 0.5983 0.5983 0.8034
```

***

Energies relative to the most stable structure, in eV/atom: A 0.129; B 0.000.

***

A | First-principles (PBE-GGA) data for a relaxed InCo2Bi2 crystal, as listed in Alexandria via LeMat-Bulk.

Total magnetic moment (μB per formula unit): 2.1
ρ (g/cm3): 10.62

Geometry as CIF:
```
data_InCo2Bi2
_space_group_name_H-M_alt 'P 1'
_space_group_IT_number 1
_space_group_name_Hall 'P 1'
_cell_length_a 7.1210
_cell_length_b 7.1210
_cell_length_c 4.0109
_cell_angle_alpha 90.00
_cell_angle_beta 90.00
_cell_angle_gamma 90.00
loop_
_atom_site_label
_atom_site_type_symbol
_atom_site_fract_x
_atom_site_fract_y
_atom_site_fract_z
In1 In 0.5000 0.5000 0.0000
Co1 Co 0.6250 0.1250 0.0000
Bi1 Bi 0.8344 0.3344 0.5000
Bi2 Bi 0.1656 0.6656 0.5000
Bi3 Bi 0.3344 0.1656 0.5000
Co2 Co 0.1250 0.3750 0.0000
Co3 Co 0.8750 0.6250 0.0000
In2 In 0.0000 0.0000 0.0000
Bi4 Bi 0.6656 0.8344 0.5000
Co4 Co 0.3750 0.8750 0.0000
```

***

B | First-principles (PBE-GGA) data for a relaxed InCo2Bi2 crystal, as listed in Alexandria via LeMat-Bulk.

Total magnetic moment (μB per formula unit): 1.0
ρ (g/cm3): 10.04

Geometry as CIF:
```
data_InCo2Bi2
_space_group_name_H-M_alt 'P 1'
_space_group_IT_number 1
_space_group_name_Hall 'P 1'
_cell_length_a 5.3457
_cell_length_b 5.3457
_cell_length_c 5.3361
_cell_angle_alpha 59.94
_cell_angle_beta 59.94
_cell_angle_gamma 90.00
loop_
_atom_site_label
_atom_site_type_symbol
_atom_site_fract_x
_atom_site_fract_y
_atom_site_fract_z
Co1 Co 0.3507 0.3507 0.2985
Bi1 Bi 0.2500 0.7500 0.5000
Co2 Co 0.6493 0.6493 0.7015
In1 In 0.0000 0.0000 0.0000
Bi2 Bi 0.7500 0.2500 0.5000
```

***

C | First-principles (PBE-GGA) data for a relaxed InCo2Bi2 crystal, as listed in Alexandria via LeMat-Bulk.

Total magnetic moment (μB per formula unit): 3.1
ρ (g/cm3): 9.25

Geometry as CIF:
```
data_InCo2Bi2
_space_group_name_H-M_alt 'P 1'
_space_group_IT_number 1
_space_group_name_Hall 'P 1'
_cell_length_a 3.4254
_cell_length_b 3.4254
_cell_length_c 10.2489
_cell_angle_alpha 80.38
_cell_angle_beta 80.38
_cell_angle_gamma 90.00
loop_
_atom_site_label
_atom_site_type_symbol
_atom_site_fract_x
_atom_site_fract_y
_atom_site_fract_z
Co1 Co 0.7500 0.2500 0.5000
In1 In 0.0000 0.0000 0.0000
Bi1 Bi 0.3610 0.3610 0.2780
Bi2 Bi 0.6390 0.6390 0.7220
Co2 Co 0.2500 0.7500 0.5000
```

***

Energies relative to the most stable structure, in eV/atom: A 0.102; B 0.206; C 0.000.